A plane-wave DFT calculation with PBE was carried out for a relaxed InAsRh2 crystal.

Unit cell a=4.250 b=4.250 c=5.598 alpha=78.60 beta=78.60 gamma=43.07
Atoms (fractional coordinates):
1 Rh 0.495 0.495 0.533
2 Rh 0.005 0.005 0.967
3 As 0.750 0.750 0.750
4 In 0.250 0.250 0.250

Space-group type: C2/m (12)
Fermi-level density of states, states/eV/cell: 2.53
V, Å³/f.u.: 67
E_form, eV/atom: -0.229